# 1
{"formula": "TmNpSb2", "functional": "PBE", "state": "relaxed", "lattice": [[2.180, 1.258, 7.159], [-2.180, 1.258, 7.159], [0.000, -2.517, 7.159]], "species": ["Tm", "Np", "Sb", "Sb"], "fractional_positions": [[0.000, 0.000, 0.000], [0.500, 0.500, 0.500], [0.251, 0.251, 0.251], [0.749, 0.749, 0.749]], "space_group": "R-3m (166)", "dos_at_fermi_per_ev_cell": 10.8, "e_above_lowest_polymorph_mev_per_atom": 0}

# 2
{"formula": "TmNpSb", "functional": "PBE", "state": "relaxed", "lattice": [[4.117, 0.000, 0.000], [0.000, 9.177, 0.000], [0.000, 0.000, 9.246]], "species": ["Tm", "Tm", "Tm", "Tm", "Np", "Np", "Np", "Np", "Sb", "Sb", "Sb", "Sb"], "fractional_positions": [[0.000, 0.085, 0.000], [0.000, 0.225, 0.327], [0.000, 0.775, 0.827], [0.000, 0.915, 0.500], [0.000, 0.292, 0.692], [0.000, 0.457, 0.025], [0.000, 0.543, 0.525], [0.000, 0.708, 0.192], [0.500, 0.025, 0.743], [0.500, 0.469, 0.280], [0.500, 0.531, 0.780], [0.500, 0.975, 0.243]], "space_group": "Pmc2_1 (26)", "dos_at_fermi_per_ev_cell": 29.4}

# 3
{"formula": "TmNpSb2", "functional": "PBE", "state": "relaxed", "lattice": [[2.119, 1.223, 7.643], [-2.119, 1.223, 7.643], [0.000, -2.447, 7.643]], "species": ["Tm", "Np", "Sb", "Sb"], "fractional_positions": [[0.000, 0.000, 0.000], [0.830, 0.830, 0.830], [0.412, 0.412, 0.412], [0.584, 0.584, 0.584]], "space_group": "R3m (160)", "dos_at_fermi_per_ev_cell": 8.7, "e_above_lowest_polymorph_mev_per_atom": 92}

# 4
{"formula": "NpU6Sb2", "functional": "PBE", "state": "relaxed", "lattice": [[5.523, 0.000, 0.000], [0.000, 10.203, 0.000], [-3.577, 0.000, 7.174]], "species": ["Np", "Np", "U", "U", "U", "U", "U", "U", "U", "U", "U", "U", "U", "U", "Sb", "Sb", "Sb", "Sb"], "fractional_positions": [[0.000, 0.000, 0.000], [0.000, 0.500, 0.500], [0.055, 0.119, 0.293], [0.055, 0.381, 0.793], [0.200, 0.706, 0.936], [0.200, 0.794, 0.436], [0.334, 0.187, 0.005], [0.334, 0.313, 0.505], [0.666, 0.687, 0.495], [0.666, 0.813, 0.995], [0.800, 0.206, 0.564], [0.800, 0.294, 0.064], [0.945, 0.619, 0.207], [0.945, 0.881, 0.707], [0.427, 0.042, 0.701], [0.427, 0.458, 0.201], [0.573, 0.542, 0.799], [0.573, 0.958, 0.299]], "space_group": "P2_1/c (14)", "dos_at_fermi_per_ev_cell": 42.6}

# 5
{"formula": "Np4U2Sb3", "functional": "PBE", "state": "relaxed", "lattice": [[5.265, 0.000, 0.000], [2.040, 4.879, 0.000], [2.356, 0.148, 7.914]], "species": ["Np", "Np", "Np", "Np", "U", "U", "Sb", "Sb", "Sb"], "fractional_positions": [[0.134, 0.405, 0.363], [0.358, 0.860, 0.024], [0.642, 0.140, 0.976], [0.866, 0.595, 0.637], [0.438, 0.684, 0.307], [0.562, 0.316, 0.693], [0.000, 0.500, 0.000], [0.210, 0.957, 0.669], [0.790, 0.043, 0.331]], "space_group": "P-1 (2)", "dos_at_fermi_per_ev_cell": 17.1}

# 6
{"formula": "Np2U5Sb3", "functional": "PBE", "state": "relaxed", "lattice": [[-4.175, 9.104, 3.440], [4.175, -9.104, 3.440], [4.175, 9.104, -3.440]], "species": ["Np", "Np", "Np", "Np", "U", "U", "U", "U", "U", "U", "U", "U", "U", "U", "Sb", "Sb", "Sb", "Sb", "Sb", "Sb"], "fractional_positions": [[0.139, 0.043, 0.182], [0.361, 0.543, 0.904], [0.639, 0.457, 0.096], [0.861, 0.957, 0.818], [0.020, 0.250, 0.770], [0.106, 0.760, 0.866], [0.250, 0.750, 0.500], [0.394, 0.260, 0.654], [0.480, 0.250, 0.230], [0.520, 0.750, 0.770], [0.606, 0.740, 0.346], [0.750, 0.250, 0.500], [0.894, 0.240, 0.134], [0.980, 0.750, 0.230], [0.135, 0.395, 0.531], [0.250, 0.250, 0.000], [0.365, 0.895, 0.260], [0.635, 0.105, 0.740], [0.750, 0.750, 0.000], [0.865, 0.605, 0.469]], "space_group": "Ibam (72)", "dos_at_fermi_per_ev_cell": 50.5}

# 7
{"formula": "Np5U2Sb3", "functional": "PBE", "state": "relaxed", "lattice": [[-4.682, 7.827, 2.975], [4.682, -7.827, 2.975], [4.682, 7.827, -2.975]], "species": ["Np", "Np", "Np", "Np", "Np", "Np", "Np", "Np", "Np", "Np", "U", "U", "U", "U", "Sb", "Sb", "Sb", "Sb", "Sb", "Sb"], "fractional_positions": [[0.042, 0.250, 0.792], [0.069, 0.178, 0.248], [0.250, 0.250, 0.000], [0.431, 0.678, 0.109], [0.458, 0.250, 0.208], [0.542, 0.750, 0.792], [0.569, 0.322, 0.891], [0.750, 0.750, 0.000], [0.931, 0.822, 0.752], [0.958, 0.750, 0.208], [0.179, 0.387, 0.566], [0.321, 0.887, 0.209], [0.679, 0.113, 0.791], [0.821, 0.613, 0.434], [0.140, 0.732, 0.872], [0.250, 0.750, 0.500], [0.360, 0.232, 0.592], [0.640, 0.768, 0.408], [0.750, 0.250, 0.500], [0.860, 0.268, 0.128]], "space_group": "Ibam (72)", "dos_at_fermi_per_ev_cell": 46.0}

# 8
{"formula": "NpUSb", "functional": "PBE", "state": "relaxed", "lattice": [[1.866, -6.831, 0.000], [1.866, 6.831, 0.000], [0.000, 0.000, 5.378]], "species": ["Np", "Np", "U", "U", "Sb", "Sb"], "fractional_positions": [[0.096, 0.904, 0.750], [0.904, 0.096, 0.250], [0.282, 0.718, 0.250], [0.718, 0.282, 0.750], [0.407, 0.593, 0.750], [0.593, 0.407, 0.250]], "space_group": "Cmcm (63)", "dos_at_fermi_per_ev_cell": 13.1, "e_above_lowest_polymorph_mev_per_atom": 0}

# 9
{"formula": "NpUSb", "functional": "PBE", "state": "relaxed", "lattice": [[2.722, -2.420, 0.000], [2.722, 2.420, 0.000], [-2.111, 0.000, 5.004]], "species": ["Np", "U", "Sb"], "fractional_positions": [[0.000, 0.000, 0.000], [0.327, 0.327, 0.792], [0.667, 0.667, 0.394]], "space_group": "Cm (8)", "dos_at_fermi_per_ev_cell": 6.6, "e_above_lowest_polymorph_mev_per_atom": 59}

# 10
{"formula": "Np2USb2", "functional": "PBE", "state": "relaxed", "lattice": [[-2.402, 2.934, 4.324], [2.402, -2.934, 4.324], [2.402, 2.934, -4.324]], "species": ["Np", "Np", "U", "Sb", "Sb"], "fractional_positions": [[0.238, 0.000, 0.238], [0.762, 0.000, 0.762], [0.500, 0.500, 0.000], [0.186, 0.686, 0.500], [0.814, 0.314, 0.500]], "space_group": "Immm (71)", "dos_at_fermi_per_ev_cell": 8.7}

# 11
{"formula": "NpU2Sb", "functional": "PBE", "state": "relaxed", "lattice": [[-3.258, 4.024, 3.381], [3.258, -4.024, 3.381], [3.258, 4.024, -3.381]], "species": ["Np", "Np", "U", "U", "U", "U", "Sb", "Sb"], "fractional_positions": [[0.303, 0.053, 0.250], [0.697, 0.947, 0.750], [0.311, 0.000, 0.811], [0.311, 0.500, 0.311], [0.689, 0.000, 0.189], [0.689, 0.500, 0.689], [0.163, 0.413, 0.750], [0.837, 0.587, 0.250]], "space_group": "Imma (74)", "dos_at_fermi_per_ev_cell": 20.2, "e_above_lowest_polymorph_mev_per_atom": 0}

# 12
{"formula": "Np6USb10", "functional": "PBE", "state": "relaxed", "lattice": [[9.283, 0.000, 0.000], [-4.641, 8.039, 0.000], [0.000, 0.000, 6.092]], "species": ["Np", "Np", "Np", "Np", "Np", "Np", "U", "Sb", "Sb", "Sb", "Sb", "Sb", "Sb", "Sb", "Sb", "Sb", "Sb"], "fractional_positions": [[0.000, 0.388, 0.245], [0.000, 0.612, 0.755], [0.388, 0.000, 0.245], [0.388, 0.388, 0.755], [0.612, 0.000, 0.755], [0.612, 0.612, 0.245], [0.000, 0.000, 0.000], [0.000, 0.268, 0.734], [0.000, 0.732, 0.266], [0.268, 0.000, 0.734], [0.268, 0.268, 0.266], [0.333, 0.667, 0.000], [0.333, 0.667, 0.500], [0.667, 0.333, 0.000], [0.667, 0.333, 0.500], [0.732, 0.000, 0.266], [0.732, 0.732, 0.734]], "space_group": "P-31m (162)", "dos_at_fermi_per_ev_cell": 55.7}

# 13
{"formula": "NpUSb", "functional": "PBE", "state": "relaxed", "lattice": [[4.630, -1.418, 0.000], [4.630, 1.418, 0.000], [-4.417, 0.000, 10.915]], "species": ["Np", "Np", "U", "U", "Sb", "Sb"], "fractional_positions": [[0.083, 0.083, 0.419], [0.917, 0.917, 0.581], [0.210, 0.210, 0.683], [0.790, 0.790, 0.317], [0.027, 0.027, 0.869], [0.973, 0.973, 0.131]], "space_group": "C2/m (12)", "dos_at_fermi_per_ev_cell": 10.3, "e_above_lowest_polymorph_mev_per_atom": 491}

# 14
{"formula": "NpU2Sb", "functional": "PBE", "state": "relaxed", "lattice": [[1.534, 0.886, 11.027], [-1.534, 0.886, 11.027], [0.000, -1.771, 11.027]], "species": ["Np", "U", "U", "Sb"], "fractional_positions": [[0.000, 0.000, 0.000], [0.251, 0.251, 0.251], [0.749, 0.749, 0.749], [0.500, 0.500, 0.500]], "space_group": "R-3m (166)", "dos_at_fermi_per_ev_cell": 12.6, "e_above_lowest_polymorph_mev_per_atom": 367}

# 15
{"formula": "NpU4Sb2", "functional": "PBE", "state": "relaxed", "lattice": [[5.531, 0.000, 0.000], [0.000, 6.359, 0.000], [-0.867, 0.000, 9.137]], "species": ["Np", "Np", "U", "U", "U", "U", "U", "U", "U", "U", "Sb", "Sb", "Sb", "Sb"], "fractional_positions": [[0.071, 0.250, 0.323], [0.929, 0.750, 0.677], [0.130, 0.250, 0.590], [0.247, 0.750, 0.877], [0.290, 0.540, 0.216], [0.290, 0.960, 0.216], [0.710, 0.040, 0.784], [0.710, 0.460, 0.784], [0.753, 0.250, 0.123], [0.870, 0.750, 0.410], [0.237, 0.250, 0.928], [0.391, 0.750, 0.547], [0.609, 0.250, 0.453], [0.763, 0.750, 0.072]], "space_group": "P2_1/m (11)", "dos_at_fermi_per_ev_cell": 29.7}

# 16
{"formula": "NpUSb", "functional": "PBE", "state": "relaxed", "lattice": [[-1.764, 1.764, 5.070], [1.764, -1.764, 5.070], [1.764, 1.764, -5.070]], "species": ["Np", "U", "Sb"], "fractional_positions": [[0.000, 0.000, 0.000], [0.592, 0.592, 0.000], [0.297, 0.297, 0.000]], "space_group": "I4mm (107)", "dos_at_fermi_per_ev_cell": 6.3, "e_above_lowest_polymorph_mev_per_atom": 111}

# 17
{"formula": "NpU2Sb", "functional": "PBE", "state": "relaxed", "lattice": [[1.873, 1.081, 7.257], [-1.873, 1.081, 7.257], [0.000, -2.162, 7.257]], "species": ["Np", "U", "U", "Sb"], "fractional_positions": [[0.000, 0.000, 0.000], [0.396, 0.396, 0.396], [0.603, 0.603, 0.603], [0.831, 0.831, 0.831]], "space_group": "R3m (160)", "dos_at_fermi_per_ev_cell": 6.5, "e_above_lowest_polymorph_mev_per_atom": 65}

# 18
{"formula": "NpUSb6", "functional": "PBE", "state": "relaxed", "lattice": [[4.302, 0.000, 0.000], [0.000, 2.228, 11.507], [0.000, -2.228, 11.507]], "species": ["Np", "U", "Sb", "Sb", "Sb", "Sb", "Sb", "Sb"], "fractional_positions": [[0.000, 0.000, 0.000], [0.500, 0.345, 0.345], [0.000, 0.237, 0.237], [0.000, 0.601, 0.601], [0.000, 0.865, 0.865], [0.500, 0.109, 0.109], [0.500, 0.480, 0.480], [0.500, 0.744, 0.744]], "space_group": "Amm2 (38)", "dos_at_fermi_per_ev_cell": 21.3}

# 19
{"formula": "Np2U4Sb3", "functional": "PBE", "state": "relaxed", "lattice": [[7.386, -5.246, 0.000], [7.386, 5.246, 0.000], [-0.371, 0.000, 5.352]], "species": ["Np", "Np", "Np", "Np", "U", "U", "U", "U", "U", "U", "U", "U", "Sb", "Sb", "Sb", "Sb", "Sb", "Sb"], "fractional_positions": [[0.097, 0.318, 0.393], [0.318, 0.097, 0.893], [0.682, 0.903, 0.107], [0.903, 0.682, 0.607], [0.018, 0.235, 0.774], [0.235, 0.018, 0.274], [0.349, 0.568, 0.445], [0.432, 0.651, 0.055], [0.568, 0.349, 0.945], [0.651, 0.432, 0.555], [0.765, 0.982, 0.726], [0.982, 0.765, 0.226], [0.133, 0.867, 0.750], [0.201, 0.466, 0.920], [0.466, 0.201, 0.420], [0.534, 0.799, 0.580], [0.799, 0.534, 0.080], [0.867, 0.133, 0.250]], "space_group": "C2/c (15)", "dos_at_fermi_per_ev_cell": 43.6}

# 20
{"formula": "NpU2Sb5", "functional": "PBE", "state": "relaxed", "lattice": [[8.160, 0.000, 0.000], [0.000, 11.175, 0.000], [0.000, 0.000, 4.785]], "species": ["Np", "Np", "U", "U", "U", "U", "Sb", "Sb", "Sb", "Sb", "Sb", "Sb", "Sb", "Sb", "Sb", "Sb"], "fractional_positions": [[0.000, 0.000, 0.000], [0.500, 0.500, 0.000], [0.080, 0.323, 0.500], [0.420, 0.823, 0.500], [0.580, 0.177, 0.500], [0.920, 0.677, 0.500], [0.000, 0.500, 0.000], [0.178, 0.761, 0.000], [0.220, 0.060, 0.500], [0.280, 0.560, 0.500], [0.322, 0.261, 0.000], [0.500, 0.000, 0.000], [0.678, 0.739, 0.000], [0.720, 0.440, 0.500], [0.780, 0.940, 0.500], [0.822, 0.239, 0.000]], "space_group": "Pbam (55)", "dos_at_fermi_per_ev_cell": 50.2}

# 21
{"formula": "Np3VSb5", "functional": "PBE", "state": "relaxed", "lattice": [[9.100, 0.000, 0.000], [-4.550, 7.881, 0.000], [0.000, 0.000, 6.094]], "species": ["Np", "Np", "Np", "Np", "Np", "Np", "V", "V", "Sb", "Sb", "Sb", "Sb", "Sb", "Sb", "Sb", "Sb", "Sb", "Sb"], "fractional_positions": [[0.000, 0.389, 0.250], [0.000, 0.611, 0.750], [0.389, 0.000, 0.250], [0.389, 0.389, 0.750], [0.611, 0.000, 0.750], [0.611, 0.611, 0.250], [0.000, 0.000, 0.000], [0.000, 0.000, 0.500], [0.000, 0.255, 0.750], [0.000, 0.745, 0.250], [0.255, 0.000, 0.750], [0.255, 0.255, 0.250], [0.333, 0.667, 0.000], [0.333, 0.667, 0.500], [0.667, 0.333, 0.000], [0.667, 0.333, 0.500], [0.745, 0.000, 0.250], [0.745, 0.745, 0.750]], "space_group": "P6_3/mcm (193)", "dos_at_fermi_per_ev_cell": 56.1}

# 22
{"formula": "NpV4Sb", "functional": "PBE", "state": "relaxed", "lattice": [[0.000, 3.700, 3.700], [3.700, 0.000, 3.700], [3.700, 3.700, 0.000]], "species": ["Np", "V", "V", "V", "V", "Sb"], "fractional_positions": [[0.000, 0.000, 0.000], [0.115, 0.628, 0.628], [0.628, 0.115, 0.628], [0.628, 0.628, 0.115], [0.628, 0.628, 0.628], [0.250, 0.250, 0.250]], "space_group": "F-43m (216)", "dos_at_fermi_per_ev_cell": 11.5}

Calculated values (hartree per atom) of uncorrected energy for the records, taken in order: -0.2587 -0.2667 -0.2553 -0.3624 -0.3638 -0.3446 -0.3618 -0.3564 -0.3542 -0.3355 -0.3663 -0.2902 -0.3384 -0.3528 -0.3520 -0.3524 -0.3639 -0.2275 -0.3479 -0.2623 -0.2900 -0.3173.
Calculated values (meV per atom) of formation energy without anion corrections for the records, taken in order: -625 -79 -532 18 -264 93 119 -248 -189 -48 -59 -240 243 309 -101 -138 7 -69 -201 -121 -274 288.